[1]
# Rb2LaHBr6 | Alexandria via LeMat-Bulk | PBE-GGA | optimized geometry
data_Rb2LaHBr6
_cell_length_a 8.878
_cell_length_b 8.878
_cell_length_c 9.375
_cell_angle_alpha 90.00
_cell_angle_beta 90.00
_cell_angle_gamma 90.00
_space_group_name_H-M_alt 'I 4/m m m'
_space_group_IT_number 139
_space_group_name_Hall '-I 4 2'
loop_
_atom_site_label
_atom_site_type_symbol
_atom_site_fract_x
_atom_site_fract_y
_atom_site_fract_z
Rb1 Rb 0.000 0.500 0.250
La1 La 0.000 0.000 0.000
H1 H 0.000 0.000 0.500
Br1 Br 0.000 0.000 0.318
Br2 Br 0.231 0.231 0.000
# Total energy = -3.505 eV/atom

[2]
# La4HRhBr2 | Alexandria via LeMat-Bulk | PBE-GGA | optimized geometry
data_La4HRhBr2
_cell_length_a 6.928
_cell_length_b 4.033
_cell_length_c 8.163
_cell_angle_alpha 90.00
_cell_angle_beta 106.19
_cell_angle_gamma 90.00
_space_group_name_H-M_alt 'P 1 2/m 1'
_space_group_IT_number 10
loop_
_space_group_symop_operation_xyz
'x,y,z'
'-x,-y,-z'
'-x,y,-z'
'x,-y,z'
loop_
_atom_site_label
_atom_site_type_symbol
_atom_site_fract_x
_atom_site_fract_y
_atom_site_fract_z
La1 La 0.228 0.000 0.203
La2 La 0.251 0.500 0.800
H1 H 0.000 0.500 0.000
Rh1 Rh 0.500 0.000 0.000
Br1 Br 0.000 0.000 0.500
Br2 Br 0.500 0.500 0.500
# Total energy = -5.176 eV/atom